No. 1
Crystalline PmSi2Rh5 at its relaxed geometry, computed with PBE.

a b c (Å): 6.2844 6.2844 6.2844
angles (deg): 143.95 115.52 76.15
Last column: nearest neighbours and their distance in Å.
Sites, in units of the cell vectors:
Pm 0.0000 0.0000 0.0000  10 Rh 3.14-3.35, 4 Si 3.27
Si 0.2657 0.7657 0.5000  7 Rh 2.32-2.52
Si 0.7343 0.2343 0.5000  7 Rh 2.32-2.52
Rh 0.1517 0.3535 0.7982  3 Si 2.32-2.52
Rh 0.4447 0.6465 0.7982  3 Si 2.32-2.52
Rh 0.5000 0.0000 0.5000  2 Si 2.32
Rh 0.5553 0.3535 0.2018  3 Si 2.32-2.52
Rh 0.8483 0.6465 0.2018  3 Si 2.32-2.52

## Properties
Space group = No. 71
DOS at the Fermi energy = 0.65 states/eV/atom
Magnetic moment = 0.0 μB per formula unit
Energy relative to the elements, uncorrected = -0.79 eV/atom



No. 2
Crystalline Pm3SiRh2 at its relaxed geometry, computed with PBE.

a b c (Å): 11.8609 3.9318 12.3093
angles (deg): 90.00 90.00 90.00
Last column: nearest neighbours and their distance in Å.
Sites, in units of the cell vectors:
Pm 0.0640 0.2500 0.1187  5 Rh 3.05-3.30, 1 Si 3.05
Pm 0.1264 0.7500 0.5538  5 Rh 3.03-3.28, 3 Si 3.08-3.11
Pm 0.1975 0.2500 0.8074  3 Rh 2.88-2.95, 2 Si 3.00
Pm 0.3025 0.7500 0.3074  3 Rh 2.88-2.95, 2 Si 3.00
Pm 0.3736 0.2500 0.0538  5 Rh 3.03-3.28, 3 Si 3.08-3.11
Pm 0.4360 0.7500 0.6187  5 Rh 3.05-3.30, 1 Si 3.05
Pm 0.5640 0.2500 0.3813  5 Rh 3.05-3.30, 1 Si 3.05
Pm 0.6264 0.7500 0.9462  5 Rh 3.03-3.28, 3 Si 3.08-3.11
Pm 0.6975 0.2500 0.6926  3 Rh 2.88-2.95, 2 Si 3.00
Pm 0.8025 0.7500 0.1926  3 Rh 2.88-2.95, 2 Si 3.00
Pm 0.8736 0.2500 0.4462  5 Rh 3.03-3.28, 3 Si 3.08-3.11
Pm 0.9360 0.7500 0.8813  5 Rh 3.05-3.30, 1 Si 3.05
Si 0.1200 0.2500 0.3608  3 Rh 2.38-2.62
Si 0.3800 0.7500 0.8608  3 Rh 2.38-2.62
Si 0.6200 0.2500 0.1392  3 Rh 2.38-2.62
Si 0.8800 0.7500 0.6392  3 Rh 2.38-2.62
Rh 0.0206 0.7500 0.3078  2 Si 2.38
Rh 0.1956 0.7500 0.9781  1 Si 2.62, 2 Pm 2.88
Rh 0.3044 0.2500 0.4781  1 Si 2.62, 2 Pm 2.88
Rh 0.4794 0.2500 0.8078  2 Si 2.38
Rh 0.5206 0.7500 0.1922  2 Si 2.38
Rh 0.6956 0.7500 0.5219  1 Si 2.62, 2 Pm 2.88
Rh 0.8044 0.2500 0.0219  1 Si 2.62, 2 Pm 2.88
Rh 0.9794 0.2500 0.6922  2 Si 2.38

## Properties
Space group = No. 62
DOS at the Fermi energy = 0.72 states/eV/atom
Magnetic moment = 0.0 μB per formula unit
Energy relative to the elements, uncorrected = -0.73 eV/atom



> Which formula does entry 2 have?

Pm3SiRh2



> What is the energy relative to the elements, uncorrected in the first record?

-0.79 eV/atom